Here is crystalline CaRhN2O at its relaxed geometry from the Alexandria database. Energies are from PBE-GGA.

Cell and atoms, written as CIF:
```
data_CaRhN2O
_space_group_name_H-M_alt 'P 4/m m m'
_space_group_IT_number 123
_space_group_name_Hall '-P 4 2'
_cell_length_a 4.470
_cell_length_b 4.470
_cell_length_c 4.231
_cell_angle_alpha 90.00
_cell_angle_beta 90.00
_cell_angle_gamma 90.00
loop_
_atom_site_label
_atom_site_fract_x
_atom_site_fract_y
_atom_site_fract_z
Ca1 0.000 0.000 0.000
Rh1 0.500 0.500 0.500
N1 0.000 0.500 0.000
O1 0.000 0.000 0.500
```

## Properties
Its total DFT energy (no corrections) is -4.46 eV/atom. The spin magnetization comes out at 2.25 μB per formula unit.

=====

Here is crystalline Ca3TiGe at its relaxed geometry from the Alexandria database. Energies are from PBE-GGA.

Cell and atoms, written as CIF:
```
data_Ca3TiGe
_space_group_name_H-M_alt 'P m -3 m'
_space_group_IT_number 221
_space_group_name_Hall '-P 4 2 3'
_cell_length_a 5.691
_cell_length_b 5.691
_cell_length_c 5.691
_cell_angle_alpha 90.00
_cell_angle_beta 90.00
_cell_angle_gamma 90.00
loop_
_atom_site_label
_atom_site_fract_x
_atom_site_fract_y
_atom_site_fract_z
Ca1 0.000 0.000 0.500
Ti1 0.000 0.000 0.000
Ge1 0.500 0.500 0.500
```

## Properties
The formation energy comes out at 859 meV per atom. The value obtained for the energy above the lowest structure with this stoichiometry is 39.79 kJ/mol of atoms. Its total DFT energy (no corrections) is -2.84 eV/atom. The spin magnetization comes out at 3.90 μB per formula unit.

=====

Please write out number 1 again, unchanged.
Here is crystalline CaRhN2O at its relaxed geometry from the Alexandria database. Energies are from PBE-GGA.

Cell and atoms, written as CIF:
```
data_CaRhN2O
_space_group_name_H-M_alt 'P 4/m m m'
_space_group_IT_number 123
_space_group_name_Hall '-P 4 2'
_cell_length_a 4.470
_cell_length_b 4.470
_cell_length_c 4.231
_cell_angle_alpha 90.00
_cell_angle_beta 90.00
_cell_angle_gamma 90.00
loop_
_atom_site_label
_atom_site_fract_x
_atom_site_fract_y
_atom_site_fract_z
Ca1 0.000 0.000 0.000
Rh1 0.500 0.500 0.500
N1 0.000 0.500 0.000
O1 0.000 0.000 0.500
```

## Properties
Its total DFT energy (no corrections) is -4.46 eV/atom. The spin magnetization comes out at 2.25 μB per formula unit.

=====

Number 2 is which compound? Ca3TiGe

=====

Which of these has the lowest spin magnetization? CaRhN2O